# Hf2Zn3Pt4

Hf2Zn3Pt4 after structural relaxation (PBE, Alexandria).

a = 4.0548 Å, b = 4.8281 Å, c = 8.5640 Å
α = 74.36°, β = 89.98°, γ = 65.16°
Sites, in units of the cell vectors:
Hf: 0.6818 0.6358 0.2229
Hf: 0.3182 0.3642 0.7771
Pt: 0.6567 0.6869 0.8907
Pt: 0.9743 0.0521 0.6655
Pt: 0.3433 0.3131 0.1093
Pt: 0.0257 0.9479 0.3345
Zn: 0.0000 0.0000 0.0000
Zn: 0.6504 0.6990 0.5554
Zn: 0.3496 0.3010 0.4446

* offset from the most stable computed form: 0 meV per atom
* volume: 16.1 Å³/atom
* DOS(E_F): 3.42 states/eV per cell

# HfZn4Pt

HfZn4Pt after structural relaxation (PBE, Alexandria).

a = 5.0694 Å, b = 5.0694 Å, c = 5.0694 Å
α = 60.00°, β = 60.00°, γ = 60.00°
Sites, in units of the cell vectors:
Zn: 0.6246 0.6246 0.6246
Zn: 0.6246 0.1262 0.6246
Zn: 0.1262 0.6246 0.6246
Zn: 0.6246 0.6246 0.1262
Pt: 0.0000 0.0000 0.0000
Hf: 0.2500 0.2500 0.2500

* energy: -22.360 eV per cell
* volume: 15.4 Å³/atom
* DOS(E_F): 4.59 states/eV per cell

# HfZnPt

HfZnPt after structural relaxation (PBE, Alexandria).

a = 2.8927 Å, b = 4.4799 Å, c = 4.4799 Å
α = 120.00°, β = 90.00°, γ = 90.00°
Sites, in units of the cell vectors:
Hf: 0.6668 0.3333 0.6667
Pt: 0.1664 0.0000 0.0000
Zn: 0.1668 0.6667 0.3333

* energy: -19.444 eV per cell
* volume: 16.8 Å³/atom
* DOS(E_F): 1.54 states/eV per cell

# Hf3Zn2Pt3

Hf3Zn2Pt3 after structural relaxation (PBE, Alexandria).

a = 5.2253 Å, b = 7.9354 Å, c = 7.9354 Å
α = 120.00°, β = 90.00°, γ = 90.00°
Sites, in units of the cell vectors:
Pt: 0.7500 0.0000 0.6092
Pt: 0.7500 0.6092 0.0000
Pt: 0.7500 0.3908 0.3908
Pt: 0.2500 0.0000 0.3908
Pt: 0.2500 0.6092 0.6092
Pt: 0.2500 0.3908 0.0000
Hf: 0.2500 0.0000 0.7455
Hf: 0.7500 0.7455 0.7455
Hf: 0.7500 0.2545 0.0000
Hf: 0.2500 0.2545 0.2545
Hf: 0.7500 0.0000 0.2545
Hf: 0.2500 0.7455 0.0000
Zn: 0.5000 0.6667 0.3333
Zn: 0.0000 0.6667 0.3333
Zn: 0.0000 0.3333 0.6667
Zn: 0.5000 0.3333 0.6667

* energy: -115.004 eV per cell
* volume: 17.8 Å³/atom
* DOS(E_F): 10.45 states/eV per cell